Below is a geometry-optimized CaTl2Pt structure, with properties calculated at the PBE level.

It has space group P2/m (No. 10), with a = 4.081 Å, b = 4.784 Å, c = 5.485 Å, α = 90.00°, β = 103.02° and γ = 90.00°. The distinct sites, in fractional coordinates, are Ca at (0.000, 0.000, 0.000), Tl at (0.328, 0.500, 0.721) and Pt at (0.500, 0.000, 0.500).

The calculation puts the density of states at the Fermi level at 0.55 states/eV/atom. The value obtained for the energy relative to the elements is -0.284 eV/atom.